DFT (PBE+U) results for a geometry-optimized V2Pd2O7 structure.

Computed properties:
uncorrected energy = -144.6 eV per cell
polymorph energy (0 for the lowest one) = 146 meV per atom
mass density = 4.8 g/cm³
Fermi-level density of states = 13.79 states/eV/cell

a b c (Å): 6.3742 9.0649 5.1772
angles (deg): 90.00 96.63 90.00
Space group C2/m (No. 12)
Inequivalent atoms, fractional coordinates:
V: 0.2413 0.0000 0.1012 [4 per cell]
Pd: 0.0000 0.1845 0.5000 [4 per cell]
O: 0.0000 0.5000 0.0000 [2 per cell]
O: 0.0853 0.0000 0.7880 [4 per cell]
O: 0.2466 0.1688 0.2807 [8 per cell]